MnHgSbF2: relaxed, GGA+U.

abc: 4.3411 4.3411 6.3809
angles: 90.00 90.00 90.00
With the nearest neighbours (Å) after each atom.
Space group P4/mmm (No. 123)
Inequivalent atoms, fractional coordinates:
Mn1 0.0000 0.0000 0.0000 x1  4 Sb 3.07, 2 Hg 3.19
Hg1 0.0000 0.0000 0.5000 x1  4 F 2.17
Sb1 0.5000 0.5000 0.0000 x1  4 Mn 3.07
F1 0.0000 0.5000 0.5000 x2  2 Hg 2.17

Output
Volume (Å³ per cell): 120
Uncorrected energy (eV per atom): -3.55